Record 1
Here is a relaxed structure of CePu from Alexandria. Energies are from GGA-PBE.

Cell: 3.335 3.335 5.663 Å, 107.12 72.88 120.00°
Site moments in Bohr magnetons follow the coordinates.
Atoms (fractional coordinates):
Pu  0.500  0.500  0.500  5.14
Ce  0.000  0.000  0.000  -0.28

* total magnetic moment: 4.972 μB/cell
* formation energy: 0.1556 eV per atom

Record 2
Here is a relaxed structure of Sr2ZrZn from Alexandria. Energies are from GGA-PBE.

Cell: 6.166 6.166 6.166 Å, 133.71 133.71 67.54°
Site moments in Bohr magnetons follow the coordinates.
Atoms (fractional coordinates):
Zr  0.750  0.250  0.500  0.27
Zn  0.250  0.750  0.500  -0.01
Sr  0.500  0.500  0.000  0.02
Sr  0.000  0.000  0.000  0.02

* total magnetic moment: 0.482 μB/cell
* formation energy: 0.4737 eV per atom